1.
## NaBi2I (PBE-GGA)

Data for an optimized crystal structure of NaBi2I.

Unit cell a=15.1137 b=15.1137 c=15.1137 alpha=162.71 beta=162.71 gamma=24.55
Sites, in units of the cell vectors:
Na  0.0000  0.0000  0.0000
Na  0.7500  0.2500  0.5000
Bi  0.0905  0.6250  0.9655
Bi  0.3750  0.3405  0.4655
Bi  0.6595  0.1250  0.0345
Bi  0.8750  0.9095  0.5345
I  0.2500  0.7500  0.5000
I  0.5000  0.5000  0.0000

Computed properties:
As for the space group: I-42d (122). The calculation puts the raw total energy at -23.897 eV/cell. The calculation puts the calculated volume at 305 Å³ per cell. As for the raw formation energy: -329 meV per atom. Its excess energy over the best structure of this formula in the dataset is 0.00 eV per formula unit.

2.
## PrErRu4 (PBE-GGA)

Data for an optimized crystal structure of PrErRu4.

Unit cell a=5.3811 b=5.3811 c=5.3811 alpha=60.00 beta=60.00 gamma=60.00
Sites, in units of the cell vectors:
Pr  0.0000  0.0000  0.0000
Er  0.7500  0.7500  0.7500
Ru  0.3754  0.3754  0.3754
Ru  0.3754  0.3754  0.8739
Ru  0.3754  0.8739  0.3754
Ru  0.8739  0.3754  0.3754

Computed properties:
As for the space group: F-43m (216). The calculation puts the raw total energy at -47.655 eV/cell. The calculation puts the calculated volume at 110 Å³ per cell. For the formation energy, the calculation gives -0.20 eV/atom.

no.,M_tot (μB per atom)
1,0.000
2,0.000